! LiReSb2, relaxed, DFT PBE; values from VASP
! Formation energy without anion corrections ... 449.2 meV per atom
! Offset from the most stable computed form ... 413.1 meV per atom
! Spin magnetization ... 0.046 Bohr magnetons per cell
&SYSTEM
  ibrav = 0, nat = 8, ntyp = 3
/
ATOMIC_SPECIES
Li 6.94 Li.upf
Re 186.21 Re.upf
Sb 121.76 Sb.upf
CELL_PARAMETERS angstrom
4.023 0.000 0.000
0.000 4.023 0.000
0.000 0.000 9.423
ATOMIC_POSITIONS crystal
Li 0.000 0.000 0.000
Li 0.500 0.500 0.500
Re 0.000 0.500 0.750
Re 0.500 0.000 0.250
Sb 0.000 0.000 0.500
Sb 0.000 0.500 0.250
Sb 0.500 0.000 0.750
Sb 0.500 0.500 0.000

=====

! Ac3AlS6, relaxed, DFT PBE; values from VASP
! Formation energy without anion corrections ... -1947.6 meV per atom
! Spin magnetization ... 0.000 Bohr magnetons per cell
&SYSTEM
  ibrav = 0, nat = 20, ntyp = 3
/
ATOMIC_SPECIES
Ac 227.00 Ac.upf
Al 26.98 Al.upf
S 32.06 S.upf
CELL_PARAMETERS angstrom
5.762 -7.199 0.000
5.762 7.199 0.000
0.000 0.000 6.904
ATOMIC_POSITIONS crystal
Ac 0.106 0.894 0.500
Ac 0.210 0.417 0.559
Ac 0.417 0.210 0.059
Ac 0.583 0.790 0.559
Ac 0.790 0.583 0.059
Ac 0.894 0.106 0.000
Al 0.306 0.694 0.110
Al 0.694 0.306 0.610
S 0.085 0.604 0.262
S 0.142 0.177 0.281
S 0.177 0.142 0.781
S 0.287 0.713 0.782
S 0.396 0.915 0.262
S 0.454 0.546 0.233
S 0.546 0.454 0.733
S 0.604 0.085 0.762
S 0.713 0.287 0.282
S 0.823 0.858 0.281
S 0.858 0.823 0.781
S 0.915 0.396 0.762

=====

! Dy8Al3Sb2, relaxed, DFT PBE; values from VASP
! Formation energy without anion corrections ... -407.1 meV per atom
! Spin magnetization ... 0.000 Bohr magnetons per cell
&SYSTEM
  ibrav = 0, nat = 13, ntyp = 3
/
ATOMIC_SPECIES
Dy 162.50 Dy.upf
Al 26.98 Al.upf
Sb 121.76 Sb.upf
CELL_PARAMETERS angstrom
5.035 -7.518 0.000
5.035 7.518 0.000
0.000 0.000 4.924
ATOMIC_POSITIONS crystal
Dy 0.111 0.889 0.000
Dy 0.134 0.377 0.500
Dy 0.372 0.628 0.000
Dy 0.377 0.134 0.500
Dy 0.623 0.866 0.500
Dy 0.628 0.372 0.000
Dy 0.866 0.623 0.500
Dy 0.889 0.111 0.000
Al 0.256 0.256 0.000
Al 0.500 0.500 0.500
Al 0.744 0.744 0.000
Sb 0.239 0.761 0.500
Sb 0.761 0.239 0.500

=====

! AuSCl3, relaxed, DFT PBE; values from VASP
! Formation energy without anion corrections ... -140.2 meV per atom
! Offset from the most stable computed form ... 53.9 meV per atom
! Spin magnetization ... 0.000 Bohr magnetons per cell
&SYSTEM
  ibrav = 0, nat = 20, ntyp = 3
/
ATOMIC_SPECIES
Au 196.97 Au.upf
S 32.06 S.upf
Cl 35.45 Cl.upf
CELL_PARAMETERS angstrom
6.884 0.000 0.000
0.000 6.747 0.000
-1.256 0.000 14.592
ATOMIC_POSITIONS crystal
Au 0.082 0.042 0.382
Au 0.082 0.958 0.882
Au 0.918 0.042 0.118
Au 0.918 0.958 0.618
S 0.029 0.271 0.816
S 0.029 0.729 0.316
S 0.971 0.271 0.684
S 0.971 0.729 0.184
Cl 0.189 0.312 0.470
Cl 0.189 0.688 0.970
Cl 0.206 0.196 0.167
Cl 0.206 0.804 0.667
Cl 0.357 0.161 0.913
Cl 0.357 0.839 0.413
Cl 0.643 0.161 0.587
Cl 0.643 0.839 0.087
Cl 0.794 0.196 0.333
Cl 0.794 0.804 0.833
Cl 0.811 0.312 0.030
Cl 0.811 0.688 0.530

=====

! HoZnCdHg, relaxed, DFT PBE; values from VASP
! Spin magnetization ... 0.000 Bohr magnetons per cell
! ΔE_f ... -0.2971 eV/atom
&SYSTEM
  ibrav = 0, nat = 16, ntyp = 4
/
ATOMIC_SPECIES
Ho 164.93 Ho.upf
Zn 65.41 Zn.upf
Cd 112.41 Cd.upf
Hg 200.59 Hg.upf
CELL_PARAMETERS angstrom
7.008 0.000 0.000
0.000 7.008 0.000
0.000 0.000 7.008
ATOMIC_POSITIONS crystal
Ho 0.000 0.000 0.000
Ho 0.000 0.500 0.500
Ho 0.500 0.000 0.500
Ho 0.500 0.500 0.000
Zn 0.250 0.250 0.250
Zn 0.250 0.750 0.750
Zn 0.750 0.250 0.750
Zn 0.750 0.750 0.250
Cd 0.000 0.000 0.500
Cd 0.000 0.500 0.000
Cd 0.500 0.000 0.000
Cd 0.500 0.500 0.500
Hg 0.250 0.250 0.750
Hg 0.250 0.750 0.250
Hg 0.750 0.250 0.250
Hg 0.750 0.750 0.750

=====

! Ta2TeSe, relaxed, DFT PBE; values from VASP
! Formation energy without anion corrections ... 365.6 meV per atom
! Offset from the most stable computed form ... 738.5 meV per atom
! Spin magnetization ... 0.000 Bohr magnetons per cell
&SYSTEM
  ibrav = 0, nat = 16, ntyp = 3
/
ATOMIC_SPECIES
Ta 180.95 Ta.upf
Te 127.60 Te.upf
Se 78.96 Se.upf
CELL_PARAMETERS angstrom
4.771 0.000 0.000
0.000 4.771 0.000
0.000 0.000 16.621
ATOMIC_POSITIONS crystal
Ta 0.189 0.250 0.125
Ta 0.250 0.689 0.375
Ta 0.250 0.811 0.875
Ta 0.311 0.250 0.625
Ta 0.689 0.750 0.625
Ta 0.750 0.189 0.875
Ta 0.750 0.311 0.375
Ta 0.811 0.750 0.125
Te 0.000 0.000 0.500
Te 0.000 0.500 0.750
Te 0.500 0.000 0.250
Te 0.500 0.500 0.000
Se 0.000 0.000 0.000
Se 0.000 0.500 0.250
Se 0.500 0.000 0.750
Se 0.500 0.500 0.500